The following is a GGA-PBE calculation of a geometry-optimized ZnInIr2 structure, from Alexandria.

Output
* total magnetization: 0.0 μB/f.u.
* theoretical density: 14.70 g cm⁻³
* DFT formation energy: -6 meV per atom

a b c (Å): 4.090 2.906 5.613
angles (deg): 72.89 90.00 90.00
Sites, in units of the cell vectors:
Zn 0.500 0.250 0.250
Ir 0.000 0.399 0.481
Ir 0.000 0.101 0.019
In 0.500 0.750 0.750

---

The following is a GGA-PBE calculation of a geometry-optimized Nd2AgIr structure, from Alexandria.

Output
* total magnetization: 0.0 μB/f.u.
* theoretical density: 9.70 g cm⁻³
* DFT formation energy: -502 meV per atom

a b c (Å): 4.561 5.972 7.954
angles (deg): 111.56 90.00 90.00
Sites, in units of the cell vectors:
Ir 0.750 0.666 0.289
Ir 0.250 0.334 0.711
Ag 0.750 0.676 0.789
Ag 0.250 0.324 0.211
Nd 0.250 0.790 0.559
Nd 0.750 0.241 0.920
Nd 0.250 0.759 0.080
Nd 0.750 0.210 0.441

---

What is the theoretical density in the first record? 14.70 g cm⁻³